DFT (PBE) results for crystalline PaAlGa at its relaxed geometry.

Values from the calculation:
**Energy**: -5.454 eV/atom
**Formation energy**: -0.03 eV per atom
**Magnetization**: 0.06 μB per atom

abc: 5.155 3.036 8.104
angles: 79.20 90.00 90.00
Site moments in Bohr magnetons follow the coordinates.
Element x y z (fractional)
Ga: 0.750 0.628 0.744  0.00
Ga: 0.250 0.372 0.256  0.00
Al: 0.500 0.000 0.000  0.00
Al: 0.000 0.000 0.000  0.00
Pa: 0.750 0.818 0.364  0.14
Pa: 0.250 0.182 0.636  0.14

---

DFT (PBE) results for crystalline LiPuAl2Zn4 at its relaxed geometry.

Values from the calculation:
**Energy**: -3.757 eV/atom
**Formation energy**: -0.15 eV per atom
**Magnetization**: 0.69 μB per atom

abc: 4.465 4.465 8.323
angles: 74.44 74.44 60.00
Site moments in Bohr magnetons follow the coordinates.
Element x y z (fractional)
Li: 0.500 0.500 0.500  -0.01
Pu: 0.000 0.000 0.000  5.21
Al: 0.751 0.751 0.747  -0.01
Al: 0.249 0.249 0.253  -0.01
Zn: 0.392 0.392 0.825  0.02
Zn: 0.868 0.868 0.395  0.01
Zn: 0.132 0.132 0.605  0.01
Zn: 0.608 0.608 0.175  0.02

---

DFT (PBE) results for crystalline Sr2CdPb at its relaxed geometry.

Values from the calculation:
**Energy**: -2.348 eV/atom
**Formation energy**: -0.35 eV per atom
**Magnetization**: 0.00 μB per atom

abc: 6.991 6.991 6.991
angles: 146.02 132.82 59.41
Element x y z (fractional)
Cd: 0.478 0.478 0.000
Pb: 0.281 0.781 0.500
Sr: 0.014 0.014 0.000
Sr: 0.726 0.226 0.500

---

DFT (PBE) results for crystalline HoScPt at its relaxed geometry.

Values from the calculation:
**Energy**: -6.515 eV/atom
**Formation energy**: -0.87 eV per atom
**Magnetization**: 0.00 μB per atom

abc: 4.707 4.707 8.156
angles: 73.23 73.23 60.00
Element x y z (fractional)
Ho: 0.122 0.122 0.634
Ho: 0.878 0.878 0.366
Sc: 0.628 0.628 0.117
Sc: 0.372 0.372 0.883
Pt: 0.747 0.747 0.760
Pt: 0.253 0.253 0.240

---

DFT (PBE) results for crystalline KInBr6 at its relaxed geometry.

Values from the calculation:
**Formation energy (no corrections)**: -500 kJ/mol of formula units
**Energy**: -2.382 eV/atom
**Magnetization**: 0.00 μB per atom

abc: 6.519 6.519 6.519
angles: 94.30 94.30 94.30
Element x y z (fractional)
K: 0.000 0.000 0.000
In: 0.500 0.500 0.500
Br: 0.211 0.598 0.211
Br: 0.211 0.211 0.598
Br: 0.789 0.402 0.789
Br: 0.402 0.789 0.789
Br: 0.789 0.789 0.402
Br: 0.598 0.211 0.211

---

DFT (PBE) results for crystalline Nd12Ho3Er at its relaxed geometry.

Values from the calculation:
**Energy**: -4.706 eV/atom
**Formation energy**: 0.01 eV per atom
**Magnetization**: 0.00 μB per atom

abc: 5.151 5.151 20.535
angles: 90.00 90.00 90.00
Element x y z (fractional)
Nd: 0.500 0.500 0.000
Nd: 0.500 0.500 0.250
Nd: 0.500 0.500 0.500
Nd: 0.500 0.500 0.750
Nd: 0.500 0.000 0.125
Nd: 0.500 0.000 0.375
Nd: 0.500 0.000 0.625
Nd: 0.500 0.000 0.875
Nd: 0.000 0.500 0.125
Nd: 0.000 0.500 0.375
Nd: 0.000 0.500 0.625
Nd: 0.000 0.500 0.875
Ho: 0.000 0.000 0.250
Ho: 0.000 0.000 0.500
Ho: 0.000 0.000 0.750
Er: 0.000 0.000 0.000

---

Taking the records one at a time from the top gives N(E_F) values of 1.3913, 1.6477, 0.7458, 0.8712, 1.0304, 1.5107 states/eV/atom.